## P
Density functional theory data (GGA-PBE) for a geometry-optimized DyScTe structure.

abc: 5.0796 5.0796 5.0796
angles: 60.00 60.00 60.00
Closest atoms and distances in Å follow each position.
Atoms (fractional coordinates):
Te: 0.7500 0.7500 0.7500  4 Dy 3.11
Dy: 0.0000 0.0000 0.0000  4 Te 3.11, 4 Sc 3.11
Sc: 0.2500 0.2500 0.2500  4 Dy 3.11

Output
density: 6.0 Mg/m³
space group: No. 216

***

## Q
Density functional theory data (GGA-PBE) for a geometry-optimized DyScTe structure.

abc: 4.9076 4.9076 4.9076
angles: 60.00 60.00 60.00
Closest atoms and distances in Å follow each position.
Atoms (fractional coordinates):
Sc: 0.7500 0.7500 0.7500  4 Te 3.01
Dy: 0.2500 0.2500 0.2500  4 Te 3.01
Te: 0.0000 0.0000 0.0000  4 Dy 3.01, 4 Sc 3.01

Output
density: 6.7 Mg/m³
space group: No. 216

***

Most favorable structure: Q. The second most favorable one is 56.9 kJ/mol of atoms above it.